CrIn2Pb: optimized geometry, GGA-PBE.

Structure (POSCAR):
```
CrIn2Pb
1.0
6.986 -1.631 0.000
6.986 1.631 0.000
-1.572 0.000 4.424
Cr In Pb
1 2 1
Direct
0.000 0.000 0.000
0.316 0.316 0.816
0.502 0.502 0.502
0.694 0.694 0.194
```

## Properties
Space-group type ... Cm (8)
N(E_F) ... 0.647 states/eV/atom
Formation energy ... 27 kJ per mole of atoms
Electronic total energy ... -4.426 eV per atom

***

Sr3Ir2O7: optimized geometry, GGA-PBE.

Structure (POSCAR):
```
Sr3Ir2O7
1.0
2.771 -2.855 0.000
2.771 2.855 0.000
-2.674 0.000 10.399
Sr Ir O
3 2 7
Direct
0.000 0.000 0.000
0.193 0.193 0.370
0.807 0.807 0.630
0.400 0.400 0.801
0.600 0.600 0.199
0.103 0.650 0.195
0.305 0.305 0.606
0.350 0.897 0.805
0.500 0.500 0.000
0.650 0.103 0.195
0.695 0.695 0.394
0.897 0.350 0.805
```

## Properties
Space-group type ... C2/m (12)
Energy relative to the elements, uncorrected ... -1.743 eV/atom
N(E_F) ... 0.713 states/eV/atom
E above lowest polymorph ... 53.7 meV/atom
Electronic total energy ... -6.532 eV per atom

***

Q: Among the records above, which one has the highest electronic total energy?
A: CrIn2Pb